No. 1
VASP calculation (PBE-GGA) on a relaxed GaCu5Pd4 crystal.

a = 4.0786 Å, b = 6.0638 Å, c = 6.9951 Å
α = 113.95°, β = 106.95°, γ = 90.00°
Sites, in units of the cell vectors:
Pd1 0.9870 0.7531 0.9740
Cu1 0.5000 0.5000 0.0000
Cu2 0.8046 0.8707 0.6091
Cu3 0.1954 0.1293 0.3909
Cu4 0.1645 0.6986 0.3291
Cu5 0.8355 0.3014 0.6709
Pd2 0.6720 0.4068 0.3440
Ga1 0.5000 0.0000 0.0000
Pd3 0.0130 0.2469 0.0260
Pd4 0.3280 0.5932 0.6560

Summary:
Size of the total moment (μB/cell): 0.00
DFT formation energy (eV/atom): -0.073
DOS at the Fermi energy (states/eV per cell): 4.3

***

No. 2
VASP calculation (PBE-GGA) on a relaxed Pu6P2SeS3 crystal.

a = 4.9608 Å, b = 6.8136 Å, c = 10.3370 Å
α = 130.93°, β = 103.88°, γ = 90.00°
Site moments in Bohr magnetons follow the coordinates.
Sites, in units of the cell vectors:
S1 0.8337 0.1671 0.6674  -0.06
Pu1 0.6755 0.1201 0.3509  5.36
Pu2 0.6728 0.6044 0.3456  5.38
Pu3 0.3272 0.3956 0.6544  5.38
Pu4 0.0006 0.7481 0.0012  -5.26
S2 0.1663 0.8329 0.3326  -0.06
S3 0.5000 0.5000 0.0000  0.01
Pu5 0.3245 0.8799 0.6491  5.36
P1 0.8357 0.6714 0.6714  -0.10
Pu6 0.9994 0.2519 0.9988  -5.26
Se1 0.5000 0.0000 0.0000  0.01
P2 0.1643 0.3286 0.3286  -0.10

Summary:
Raw formation energy (eV/atom): -1.179
Size of the total moment (μB/cell): 11.24
DOS at the Fermi energy (states/eV per cell): 46.8

***

No. 3
VASP calculation (PBE-GGA) on a relaxed ErSeI crystal.

a = 3.6748 Å, b = 3.6748 Å, c = 7.6667 Å
α = 103.87°, β = 103.87°, γ = 90.00°
Sites, in units of the cell vectors:
Er1 0.6863 0.6863 0.3727
Se1 0.2773 0.2773 0.5547
I1 0.0363 0.0363 0.0726

Summary:
Relative energy among the computed polymorphs (kJ per mole of atoms): 34.54
Raw formation energy (eV/atom): -1.324
Size of the total moment (μB/cell): 0.00
DOS at the Fermi energy (states/eV per cell): 0.4

***

No. 4
VASP calculation (PBE-GGA) on a relaxed SrTa2Pb crystal.

a = 10.9105 Å, b = 10.9105 Å, c = 10.9105 Å
α = 16.84°, β = 16.84°, γ = 16.84°
Sites, in units of the cell vectors:
Ta1 0.9929 0.9929 0.9929
Pb1 0.2500 0.2500 0.2500
Sr1 0.7500 0.7500 0.7500
Ta2 0.5071 0.5071 0.5071

Summary:
Size of the total moment (μB/cell): 0.00
DFT formation energy (eV/atom): 0.934
DOS at the Fermi energy (states/eV per cell): 7.4

***

No. 5
VASP calculation (PBE-GGA) on a relaxed MgCl2 crystal.

a = 4.4455 Å, b = 4.4455 Å, c = 3.3141 Å
α = 90.00°, β = 90.00°, γ = 90.00°
Sites, in units of the cell vectors:
Cl1 0.0000 0.5000 0.5000
Mg1 0.0000 0.0000 0.0000
Cl2 0.5000 0.0000 0.5000

Summary:
Raw formation energy (eV/atom): -1.338
Size of the total moment (μB/cell): 0.00

***

No. 6
VASP calculation (PBE-GGA) on a relaxed La2Sm2HoMg5 crystal.

a = 5.1473 Å, b = 10.6770 Å, c = 10.6770 Å
α = 90.00°, β = 90.00°, γ = 90.00°
Sites, in units of the cell vectors:
La1 0.0000 0.1746 0.3254
Mg1 0.5000 0.8050 0.9283
Ho1 0.0000 0.0000 0.0000
Sm1 0.0000 0.1230 0.6230
Mg2 0.5000 0.9283 0.1950
Ho2 0.0000 0.5000 0.5000
Mg3 0.5000 0.6950 0.4283
Mg4 0.5000 0.0717 0.8050
Mg5 0.5000 0.4283 0.3050
La2 0.0000 0.3254 0.8254
Mg6 0.5000 0.1950 0.0717
Mg7 0.5000 0.3050 0.5717
Mg8 0.5000 0.0000 0.5000
Sm2 0.0000 0.8770 0.3770
La3 0.0000 0.8254 0.6746
Mg9 0.5000 0.5000 0.0000
Sm3 0.0000 0.3770 0.1230
Mg10 0.5000 0.5717 0.6950
La4 0.0000 0.6746 0.1746
Sm4 0.0000 0.6230 0.8770

Summary:
Size of the total moment (μB/cell): 0.00
DFT formation energy (eV/atom): 0.003
DOS at the Fermi energy (states/eV per cell): 13.6